# 1
A relaxed TiTeHI crystal. Source: Alexandria, functional PBE.

```
4
Lattice="-1.5078 2.7464 -1.8014 0.9871 -2.9945 -1.7663 -6.2907 -3.8477 3.0162" Properties=species:S:1:pos:R:3 pbc="T T T"
Te -4.6769 -5.9540 1.0966
I -2.8565 -0.6218 0.4601
Ti -1.7456 0.9857 -1.6443
H -0.9055 -0.9242 -1.6341
```

Values from the calculation:
Space group: No. 160
Total moment: 0.0 μB/cell
Calculated total energy: -4.55 eV per atom


# 2
A relaxed TlTeHI2 crystal. Source: Alexandria, functional PBE.

```
5
Lattice="-0.0231 3.4920 5.1202 -5.3381 2.5903 -1.7907 -3.0084 -4.2196 2.8642" Properties=species:S:1:pos:R:3 pbc="T T T"
Tl 0.0000 0.0000 0.0000
I -0.0116 1.7460 2.5601
I -2.6690 1.2952 -0.8953
H -4.1848 0.9313 3.0969
Te -1.5042 -2.1098 1.4321
```

Values from the calculation:
Space group: No. 123
Energy above the lowest structure with this stoichiometry: 0.526 eV/atom
Total moment: 2.5 μB/cell
Calculated total energy: -1.78 eV per atom


# 3
A relaxed TlTe2HI crystal. Source: Alexandria, functional PBE.

```
5
Lattice="5.9040 0.0000 0.0000 0.0000 5.9040 0.0000 0.0000 0.0000 6.3181" Properties=species:S:1:pos:R:3 pbc="T T T"
I 0.0000 0.0000 3.1590
H 2.9520 2.9520 3.1590
Te 0.0000 2.9520 0.0000
Te 2.9520 0.0000 0.0000
Tl 0.0000 0.0000 0.0000
```

Values from the calculation:
Space group: No. 123
Energy above the lowest structure with this stoichiometry: 0.716 eV/atom
Total moment: 2.9 μB/cell
Calculated total energy: -1.88 eV per atom


Question: What is the formula in the third record?
Answer: TlTe2HI